1.
5
Lattice="-4.417 2.528 2.552 1.233 -2.733 4.840 3.374 4.308 1.573" Properties=species:S:1:pos:R:3 comment="RbCr3Ag | the Alexandria database | PBE-GGA | relaxed" spacegroup="No. 221" pbc="T T T"
Cr 1.687 2.154 0.786
Cr 0.616 -1.366 2.420
Rb 0.000 0.000 0.000
Cr -2.208 1.264 1.276
Ag 0.095 2.051 4.483

=====

2.
14
Lattice="-2.919 3.964 4.375 -4.756 -5.531 1.838 7.280 -3.759 3.308" Properties=species:S:1:pos:R:3 comment="Ca5Ni2 | the Alexandria database | PBE-GGA | relaxed" spacegroup="No. 15" pbc="T T T"
Ca -4.814 -2.456 3.246
Ca -2.862 0.888 2.966
Ca 5.513 -3.493 2.902
Ni -3.543 -0.809 5.404
Ca 0.312 -5.091 4.024
Ca -2.616 -3.639 5.711
Ca -0.708 -0.236 5.496
Ca 2.221 -1.688 3.809
Ca -1.209 -2.220 2.220
Ni -0.454 -5.621 6.869
Ca 0.813 -3.107 7.300
Ni 0.059 0.294 2.651
Ni 3.148 -4.518 4.115
Ca -5.908 -1.834 6.618

=====

3.
4
Lattice="-2.453 0.035 -2.723 2.264 -2.012 -2.065 -3.104 -6.279 2.715" Properties=species:S:1:pos:R:3 comment="TbPmZnHg | the Alexandria database | PBE-GGA | relaxed" spacegroup="No. 99" pbc="T T T"
Tb -1.928 -4.695 -0.791
Zn -1.141 -2.308 0.998
Pm -0.482 -1.771 -2.056
Hg -2.624 -5.308 2.295

=====

Number 1: size of the total moment 15.82 μB per formula unit, energy relative to the elements 2.477 eV/atom. Number 2: size of the total moment 0.00 μB per formula unit, energy relative to the elements -0.089 eV/atom. Number 3: size of the total moment 0.00 μB per formula unit, energy relative to the elements -0.406 eV/atom.